Entry 1:
Pm5HgTe4: relaxed, PBE.

Values from the calculation:
Space-group type: I4/m (87)
Energy above the lowest structure with this stoichiometry, eV per formula unit: 0.00
DFT total energy, eV per atom: -4.91
Crystal system: tetragonal

Structure (POSCAR):
```
Pm5HgTe4
1.0
-4.984 4.984 3.155
4.984 -4.984 3.155
4.984 4.984 -3.155
Pm Hg Te
5 1 4
Cartesian
0.000 0.000 0.000
5.975 2.052 0.000
2.052 3.993 0.000
2.932 0.991 3.155
-0.991 2.932 3.155
0.000 0.000 3.155
3.011 0.962 0.000
4.022 -1.972 3.155
0.962 6.956 0.000
1.972 4.022 3.155
```

=====

Entry 2:
Pm4Hg2Te5: relaxed, PBE.

Values from the calculation:
Space-group type: C2/m (12)
DFT total energy, eV per atom: -4.21
Crystal system: monoclinic

Structure (POSCAR):
```
Pm4Hg2Te5
1.0
11.584 -2.181 0.000
11.584 2.181 0.000
-0.774 0.000 7.872
Pm Hg Te
4 2 5
Cartesian
1.342 0.000 1.739
5.786 0.000 6.085
16.608 0.000 1.788
21.052 0.000 6.134
0.897 0.000 5.145
21.497 0.000 2.728
3.083 0.000 7.671
3.733 0.000 3.683
11.584 0.000 0.000
18.661 0.000 4.190
19.311 0.000 0.201
```

=====

Entry 3:
PmHgTe2: relaxed, PBE.

Values from the calculation:
Space-group type: R-3m (166)
Energy above the lowest structure with this stoichiometry, eV per formula unit: 0.10
DFT total energy, eV per atom: -3.61
Crystal system: trigonal

Structure (POSCAR):
```
PmHgTe2
1.0
4.576 0.000 0.000
-2.288 3.963 0.000
0.000 0.000 27.846
Pm Hg Te
3 3 6
Cartesian
0.000 0.000 0.000
0.000 2.642 18.564
2.288 1.321 9.282
0.000 0.000 13.923
0.000 2.642 4.641
2.288 1.321 23.205
0.000 0.000 11.006
0.000 0.000 16.839
0.000 2.642 1.724
0.000 2.642 7.557
2.288 1.321 20.288
2.288 1.321 26.121
```

=====

V in A^3/atom, matching the order above: 31.35, 36.16, 42.08